A relaxed KPb2Se crystal. Source: Alexandria via LeMat-Bulk, functional PBE.

```
data_KPb2Se
_chemical_formula_sum 'K2 Pb4 Se2'
_cell_length_a 3.945
_cell_length_b 5.181
_cell_length_c 12.824
_cell_angle_alpha 90.00
_cell_angle_beta 90.00
_cell_angle_gamma 90.00
_space_group_name_H-M_alt 'A m m 2'
_space_group_IT_number 38
_space_group_name_Hall 'A 2 -2'
loop_
_atom_site_label
_atom_site_fract_x
_atom_site_fract_y
_atom_site_fract_z
K1 0.000 0.000 0.000
Pb1 0.000 0.000 0.714
Pb2 0.500 0.000 0.304
Se1 0.500 0.000 0.531
```

Energy relative to the elements, uncorrected ... -439 meV per atom
Calculated total energy ... -3.439 eV/atom
M_tot ... 0.0 μB/f.u.